## 1
6
Lattice="4.672 0.000 0.000 0.000 6.292 0.000 0.000 -3.146 7.396" Properties=species:S:1:pos:R:3 comment="Pr3GaTe2 | the Alexandria database | GGA-PBE | optimized geometry" total_magnetization_mub_per_cell=0.00 n_ef_per_ev_cell=2.5 pbc="T T T"
Pr 2.336 0.000 1.942
Pr 2.336 3.146 5.454
Pr 0.000 3.146 0.000
Ga 0.000 0.000 0.000
Te 2.336 3.146 2.234
Te 2.336 0.000 5.162

***

## 2
24
Lattice="7.662 0.060 -1.425 -2.909 7.089 -1.425 -0.051 -0.077 14.077" Properties=species:S:1:pos:R:3 comment="Pr3GaTe2 | the Alexandria database | GGA-PBE | optimized geometry" total_magnetization_mub_per_cell=0.00 n_ef_per_ev_cell=11.2 pbc="T T T"
Te 3.844 0.049 -0.645
Te 1.175 1.768 6.394
Te 5.371 2.346 7.664
Te 6.145 3.509 11.871
Te 4.617 1.212 3.562
Te 2.754 4.142 0.626
Te 3.527 5.305 4.833
Te 1.949 2.931 10.601
Ga 0.389 0.585 2.114
Ga 0.097 5.878 7.728
Ga 4.314 6.488 9.112
Ga -0.680 4.709 3.499
Pr 0.823 6.970 4.945
Pr 4.605 1.034 10.502
Pr 2.716 4.243 7.763
Pr -1.406 3.618 6.282
Pr 3.639 5.473 -2.182
Pr 4.440 6.519 1.993
Pr 0.409 0.457 9.234
Pr 1.114 1.676 -0.668
Pr -0.751 4.760 10.456
Pr 0.023 5.924 0.770
Pr 5.530 2.426 0.725
Pr 1.841 2.927 3.463

***

Result of the stability comparison: 2 is the most stable of them.

***

## 1
12
Lattice="6.167 1.294 0.000 -1.552 8.716 0.000 0.000 0.000 6.618" Properties=species:S:1:pos:R:3 comment="Pr4GaTe | the Alexandria database | GGA-PBE | optimized geometry" total_magnetization_mub_per_cell=0.00 n_ef_per_ev_cell=10.0 pbc="T T T"
Pr 1.840 3.578 1.655
Pr 2.619 9.068 1.655
Pr -0.205 6.208 0.037
Pr 4.819 3.802 6.581
Pr 2.774 6.432 4.964
Pr -0.205 6.208 3.272
Pr 1.996 0.942 4.964
Pr 4.819 3.802 3.347
Te 3.624 9.545 4.964
Te 0.990 0.466 1.655
Ga 3.454 6.179 1.655
Ga 1.160 3.831 4.964

***

## 2
24
Lattice="4.698 0.000 0.000 0.000 7.764 0.000 0.000 0.000 20.821" Properties=species:S:1:pos:R:3 comment="Pr4GaTe | the Alexandria database | GGA-PBE | optimized geometry" total_magnetization_mub_per_cell=0.00 n_ef_per_ev_cell=25.8 pbc="T T T"
Te 1.174 5.582 6.001
Te 1.174 1.699 4.409
Te 3.523 2.183 14.820
Te 3.523 6.065 16.412
Pr 3.523 7.085 13.268
Pr 3.523 3.314 6.004
Pr 1.174 1.143 11.225
Pr 3.523 6.621 9.596
Pr 3.523 2.739 0.815
Pr 1.174 0.568 16.415
Pr 1.174 0.680 7.553
Pr 1.174 0.250 1.472
Pr 3.523 7.196 4.407
Pr 1.174 4.450 14.818
Pr 3.523 3.202 17.964
Pr 1.174 5.026 20.007
Pr 3.523 3.633 11.883
Pr 3.523 7.515 19.349
Pr 1.174 4.132 8.938
Pr 1.174 4.562 2.857
Ga 3.523 2.075 9.057
Ga 1.174 1.807 19.467
Ga 3.523 5.958 1.354
Ga 1.174 5.689 11.765

***

Result of the stability comparison: 1 is the most stable of them.

***

## 1
4
Lattice="4.445 0.000 -0.029 0.000 4.154 0.000 -2.183 0.000 5.701" Properties=species:S:1:pos:R:3 comment="PrThGa2 | the Alexandria database | GGA-PBE | optimized geometry" total_magnetization_mub_per_cell=0.05 n_ef_per_ev_cell=4.3 pbc="T T T"
Th 1.063 0.000 5.616
Pr 1.042 2.077 2.372
Ga -1.174 0.000 3.206
Ga -1.165 2.077 4.833

***

## 2
4
Lattice="5.252 0.000 0.000 2.626 4.549 0.000 2.626 1.516 4.288" Properties=species:S:1:pos:R:3 comment="PrThGa2 | the Alexandria database | GGA-PBE | optimized geometry" total_magnetization_mub_per_cell=0.00 n_ef_per_ev_cell=2.6 pbc="T T T"
Ga 7.878 4.549 3.216
Ga 2.626 1.516 1.072
Pr 5.252 3.032 2.144
Th 0.000 0.000 0.000

***

## 3
4
Lattice="3.834 0.000 0.000 1.917 3.320 0.000 1.917 1.107 8.813" Properties=species:S:1:pos:R:3 comment="PrThGa2 | the Alexandria database | GGA-PBE | optimized geometry" total_magnetization_mub_per_cell=0.00 n_ef_per_ev_cell=4.4 pbc="T T T"
Ga 1.917 1.107 2.200
Ga 5.751 3.320 6.613
Th 3.834 2.214 4.406
Pr 0.000 0.000 0.000

***

## 4
4
Lattice="-1.978 1.807 2.233 -2.767 -0.470 -2.071 -1.844 -7.035 4.060" Properties=species:S:1:pos:R:3 comment="PrThGa2 | the Alexandria database | GGA-PBE | optimized geometry" total_magnetization_mub_per_cell=0.00 n_ef_per_ev_cell=2.9 pbc="T T T"
Th -2.373 0.669 0.081
Ga -1.384 -5.279 3.047
Ga -0.460 -1.756 1.013
Pr -3.295 -2.848 2.111

***

Result of the stability comparison: 1 is the most stable of them.

***

## 1
3
Lattice="3.938 0.000 0.000 0.000 5.012 0.000 0.000 -2.506 4.340" Properties=species:S:1:pos:R:3 comment="PrThGa | the Alexandria database | GGA-PBE | optimized geometry" total_magnetization_mub_per_cell=0.00 n_ef_per_ev_cell=3.0 pbc="T T T"
Pr 2.416 2.506 1.447
Th 0.198 0.000 0.000
Ga 1.323 0.000 2.894

***

## 2
3
Lattice="3.698 0.000 0.000 0.000 3.698 0.000 -1.849 -1.849 6.327" Properties=species:S:1:pos:R:3 comment="PrThGa | the Alexandria database | GGA-PBE | optimized geometry" total_magnetization_mub_per_cell=0.00 n_ef_per_ev_cell=3.2 pbc="T T T"
Th 0.000 0.000 3.950
Ga 1.849 1.849 2.127
Pr 0.000 0.000 0.251

***

## 3
6
Lattice="-3.217 0.177 3.180 -0.968 -1.628 -4.111 2.942 -10.779 3.577" Properties=species:S:1:pos:R:3 comment="PrThGa | the Alexandria database | GGA-PBE | optimized geometry" total_magnetization_mub_per_cell=0.62 n_ef_per_ev_cell=6.5 pbc="T T T"
Ga -1.109 -3.256 -0.941
Ga -0.134 -8.974 3.586
Th -2.222 -1.322 1.047
Th 0.979 -10.908 1.598
Pr 0.981 -3.595 1.193
Pr 1.961 -7.184 2.384

***

Result of the stability comparison: 2 is the most stable of them.